The following is a GGA-PBE calculation of CaAlRe2Mo after structural relaxation, from the Alexandria database.

Summary:
density of states at the Fermi level = 1.361 states/eV per atom
energy of formation from the pure elements = 1.671 eV/atom
ΔE to the lowest computed polymorph = 0.500 eV per atom

Cell: 4.732 4.732 5.211 Å, 90.00 90.00 90.00°
Space group P4/mmm (No. 123)
Symmetry-distinct sites (fractional):
Ca1 0.000 0.000 0.000 [1 per cell]
Al1 0.500 0.500 0.000 [1 per cell]
Re1 0.000 0.500 0.500 [2 per cell]
Mo1 0.000 0.000 0.500 [1 per cell]